! ErMg | OQMD | PBE-GGA | relaxed; values from VASP
! Raw total energy, eV per atom: -2.98
&SYSTEM
  ibrav = 0, nat = 2, ntyp = 2
/
ATOMIC_SPECIES
Er 167.26 Er.upf
Mg 24.30 Mg.upf
CELL_PARAMETERS angstrom
3.364 0.000 0.000
-1.682 2.913 0.000
0.000 0.000 5.596
ATOMIC_POSITIONS crystal
Er 0.000 0.000 0.000
Mg 0.667 0.333 0.500